1.
8
Lattice="4.674 0.000 0.000 0.000 8.068 0.137 0.000 -2.837 8.451" Properties=species:S:1:pos:R:3 comment="PBE Rb2UBiTe4, relaxed" space_group="No. 10" formation_energy_uncorrected_ev_per_atom=-0.714 pbc="T T T"
Rb 2.337 -1.418 4.226
Rb 0.000 2.616 4.294
U 2.337 4.034 0.068
Bi 0.000 0.000 0.000
Te 2.337 1.338 1.729
Te 2.337 3.894 6.859
Te 0.000 -0.089 6.788
Te 0.000 5.321 1.800

=====

2.
16
Lattice="-1.376 4.304 -2.867 -0.204 -4.282 -3.203 -5.346 -0.898 4.307" Properties=species:S:1:pos:R:3 comment="PBE LiGeAsO5, relaxed" space_group="No. 15" formation_energy_uncorrected_ev_per_atom=-1.510 pbc="T T T"
Li -1.909 -1.811 -2.021
Li -5.017 0.935 0.258
Ge -2.354 1.451 -1.893
Ge -4.572 -2.327 0.130
As -2.673 -0.449 2.153
As 0.000 0.000 0.000
O -1.636 -3.809 -2.099
O -5.290 2.933 0.336
O -1.994 2.576 -3.221
O -4.932 -3.452 1.459
O -2.987 2.334 -0.486
O -3.939 -3.209 -1.277
O -3.536 0.211 -2.322
O -3.390 -1.087 0.559
O -0.878 0.543 -1.548
O -6.048 -1.419 -0.215

=====

3.
12
Lattice="-4.390 3.358 1.098 -0.735 -5.576 -0.345 1.815 -0.849 9.852" Properties=species:S:1:pos:R:3 comment="PBE Ta2Br, relaxed" space_group="No. 194" formation_energy_uncorrected_ev_per_atom=0.834 relative_energy_ev_per_atom=0.809 pbc="T T T"
Br -0.205 -3.415 9.623
Br -2.331 -0.013 5.178
Br -3.104 0.348 0.982
Br -0.978 -3.054 5.427
Ta 0.000 0.000 0.000
Ta 0.908 -0.424 4.926
Ta -3.763 -1.222 3.153
Ta 0.453 -1.845 7.453
Ta -1.021 -0.036 2.750
Ta -3.370 1.761 3.338
Ta 0.060 -4.828 7.268
Ta -2.289 -3.031 7.855

=====

4.
8
Lattice="-2.359 4.183 -1.606 -2.879 -0.024 4.165 6.347 5.276 4.418" Properties=species:S:1:pos:R:3 comment="PBE CsIn6Au, relaxed" space_group="No. 123" e_form_kj_per_mol_atoms=-15 pbc="T T T"
Cs 0.000 0.000 0.000
In 3.039 5.598 2.133
In 2.778 3.494 5.019
In -1.610 2.918 1.982
In 2.719 6.517 4.995
In 0.689 1.757 3.564
In 0.949 3.861 0.679
Au 3.173 2.638 2.209

=====

5.
8
Lattice="3.386 0.000 -0.819 -1.182 10.336 -4.885 0.265 -2.342 8.501" Properties=species:S:1:pos:R:3 comment="PBE Nd4Er3Sc, relaxed" space_group="No. 71" e_form_kj_per_mol_atoms=12 relative_energy_ev_per_atom=0.087 pbc="T T T"
Sc 1.693 0.000 -0.410
Nd 1.764 3.276 -0.115
Nd 0.704 4.718 2.911
Nd 1.308 -0.557 5.404
Nd 1.161 8.551 -2.608
Er -0.591 5.168 -2.443
Er 1.822 6.656 0.122
Er 0.647 1.338 2.674

=====

6.
6
Lattice="5.284 0.000 0.000 -2.642 4.576 0.000 0.000 0.000 6.498" Properties=species:S:1:pos:R:3 comment="PBE Y3Cd2Hg, relaxed" space_group="No. 164" e_form_kj_per_mol_atoms=-39 pbc="T T T"
Y 0.000 0.000 3.249
Y 2.642 1.525 5.452
Y 0.000 3.051 1.046
Cd 2.642 1.525 2.243
Cd 0.000 3.051 4.255
Hg 0.000 0.000 0.000

=====

Number 1: total moment 0.3630 μB per atom. Number 2: total moment 0.0000 μB per atom. Number 3: total moment 0.0000 μB per atom. Number 4: total moment 0.0000 μB per atom. Number 5: total moment 0.0000 μB per atom. Number 6: total moment 0.0003 μB per atom.